1.
Entry from the Alexandria database: a geometry-optimized InCuW2O8 structure (PBEsol).

Output
- Magnetization: 0.00 μB/f.u.
- Total energy: -8.205 eV per atom
- Formation energy (no corrections): -1794 meV per atom

Cell lengths 7.5191, 7.5191, 4.9737 Å; angles 91.06, 91.06, 101.28 degrees
With the nearest neighbours (Å) after each atom.
Atoms (fractional coordinates):
In  0.1616  0.8384  0.7500  6 O 2.13-2.23
In  0.8384  0.1616  0.2500  6 O 2.13-2.23
Cu  0.3399  0.6601  0.2500  4 O 2.03-2.08
Cu  0.6601  0.3399  0.7500  4 O 2.03-2.08
W  0.1734  0.3467  0.7517  4 O 1.82-1.96
W  0.3467  0.1734  0.2517  4 O 1.82-1.96
W  0.6533  0.8266  0.7483  4 O 1.82-1.96
W  0.8266  0.6533  0.2483  4 O 1.82-1.96
O  0.0545  0.6875  0.3965  1 W 1.82
O  0.0943  0.1974  0.0622  2 W 1.96-2.14, 1 In 2.13
O  0.1974  0.0943  0.5622  2 W 1.96-2.14, 1 In 2.13
O  0.1965  0.5710  0.9073  1 W 1.82, 1 Cu 2.03
O  0.3084  0.4116  0.4382  2 W 1.90-2.07, 1 Cu 2.08
O  0.3125  0.9455  0.1035  1 W 1.82
O  0.4116  0.3084  0.9382  2 W 1.90-2.07, 1 Cu 2.08
O  0.4290  0.8035  0.5927  1 W 1.82, 1 Cu 2.03
O  0.5710  0.1965  0.4073  1 W 1.82, 1 Cu 2.03
O  0.5884  0.6916  0.0618  2 W 1.90-2.07, 1 Cu 2.08
O  0.6875  0.0545  0.8965  1 W 1.82
O  0.6916  0.5884  0.5618  2 W 1.90-2.07, 1 Cu 2.08
O  0.8035  0.4290  0.0927  1 W 1.82, 1 Cu 2.03
O  0.8026  0.9057  0.4378  2 W 1.96-2.14, 1 In 2.13
O  0.9057  0.8026  0.9378  2 W 1.96-2.14, 1 In 2.13
O  0.9455  0.3125  0.6035  1 W 1.82



2.
Entry from the Alexandria database: a geometry-optimized InCuOs structure (PBEsol).

Output
- Magnetization: 0.00 μB/f.u.
- Total energy: -6.035 eV per atom
- ΔH_f (0 K): 476 meV per atom

Cell lengths 3.0922, 3.0922, 9.4124 Å; angles 90.00, 90.00, 90.00 degrees
With the nearest neighbours (Å) after each atom.
Atoms (fractional coordinates):
In  0.0000  0.0000  0.0000  4 Cu 2.73, 5 Os 2.80-2.96
In  0.5000  0.5000  0.5000  4 Cu 2.73, 5 Os 2.80-2.96
Cu  0.0000  0.0000  0.3268  4 Os 2.56, 4 In 2.73
Cu  0.5000  0.5000  0.8268  4 Os 2.56, 4 In 2.73
Os  0.0000  0.0000  0.6854  4 Cu 2.56, 4 In 2.80
Os  0.5000  0.5000  0.1854  4 Cu 2.56, 4 In 2.80



3.
Entry from the Alexandria database: a geometry-optimized InCuOs2W structure (PBEsol).

Output
- Magnetization: 0.23 μB/f.u.
- Total energy: -5.807 eV per atom
- ΔH_f (0 K): 3304 meV per atom

Cell lengths 4.7284, 4.7284, 4.8127 Å; angles 90.00, 90.00, 90.00 degrees
With the nearest neighbours (Å) after each atom.
Atoms (fractional coordinates):
In  0.0000  0.0000  0.0000  4 Os 2.36, 2 W 2.41
Cu  0.5000  0.5000  0.5000  4 W 3.34, 8 Os 3.37
Os  0.0000  0.5000  0.0000  2 In 2.36
Os  0.5000  0.0000  0.0000  2 In 2.36
W  0.0000  0.0000  0.5000  2 In 2.41



4.
Entry from the Alexandria database: a geometry-optimized In2CuP structure (PBEsol).

Output
- Magnetization: 0.00 μB/f.u.
- Total energy: -3.754 eV per atom
- ΔH_f (0 K): 269 meV per atom

Cell lengths 5.7888, 7.1271, 3.7241 Å; angles 90.00, 101.17, 90.00 degrees
With the nearest neighbours (Å) after each atom.
Atoms (fractional coordinates):
In  0.2500  0.2500  0.0000  2 Cu 2.77, 2 P 2.77, 2 In 2.89
In  0.2500  0.7500  0.0000  2 Cu 2.77, 2 P 2.77, 2 In 2.89
In  0.7500  0.2500  0.0000  2 Cu 2.77, 2 P 2.77, 2 In 2.89
In  0.7500  0.7500  0.0000  2 Cu 2.77, 2 P 2.77, 2 In 2.89
Cu  0.0000  0.0000  0.5000  4 In 2.77, 2 P 2.89
Cu  0.5000  0.5000  0.5000  4 In 2.77, 2 P 2.89
P  0.0000  0.5000  0.5000  4 In 2.77, 2 Cu 2.89
P  0.5000  0.0000  0.5000  4 In 2.77, 2 Cu 2.89



5.
Entry from the Alexandria database: a geometry-optimized InCu2P structure (PBEsol).

Output
- Magnetization: 0.00 μB/f.u.
- Total energy: -4.294 eV per atom
- ΔH_f (0 K): 67 meV per atom

Cell lengths 6.6477, 3.8168, 5.4909 Å; angles 90.00, 109.94, 90.00 degrees
With the nearest neighbours (Å) after each atom.
Atoms (fractional coordinates):
In  0.0000  0.0000  0.0000  6 Cu 2.79-2.96
In  0.5000  0.5000  0.0000  6 Cu 2.79-2.96
Cu  0.2077  0.0000  0.6364  3 P 2.31-2.32
Cu  0.2923  0.5000  0.3636  3 P 2.31-2.32
Cu  0.7077  0.5000  0.6364  3 P 2.31-2.32
Cu  0.7923  0.0000  0.3636  3 P 2.31-2.32
P  0.0000  0.5000  0.5000  6 Cu 2.31-2.32
P  0.5000  0.0000  0.5000  6 Cu 2.31-2.32



6.
Entry from the Alexandria database: a geometry-optimized InCu3P structure (PBEsol).

Output
- Magnetization: 0.00 μB/f.u.
- Total energy: -3.052 eV per atom
- ΔH_f (0 K): 1303 meV per atom

Cell lengths 4.6628, 4.6628, 4.6628 Å; angles 90.00, 90.00, 90.00 degrees
With the nearest neighbours (Å) after each atom.
Atoms (fractional coordinates):
In  0.0000  0.0000  0.0000  6 Cu 2.33
Cu  0.0000  0.0000  0.5000  2 In 2.33
Cu  0.0000  0.5000  0.0000  2 In 2.33
Cu  0.5000  0.0000  0.0000  2 In 2.33
P  0.5000  0.5000  0.5000  12 Cu 3.30



7.
Entry from the Alexandria database: a geometry-optimized InCu2P structure (PBEsol).

Output
- Magnetization: 0.00 μB/f.u.
- Total energy: -4.129 eV per atom
- ΔH_f (0 K): 232 meV per atom

Cell lengths 3.8215, 4.0161, 7.7649 Å; angles 90.00, 90.00, 90.00 degrees
With the nearest neighbours (Å) after each atom.
Atoms (fractional coordinates):
In  0.0000  0.0000  0.0000  8 Cu 2.75-2.77, 4 P 2.77
In  0.5000  0.5000  0.5000  8 Cu 2.75-2.77, 4 P 2.77
Cu  0.0000  0.5000  0.2449  4 P 2.70-2.82, 4 In 2.75-2.77, 4 Cu 2.77
Cu  0.0000  0.5000  0.7551  4 P 2.70-2.82, 4 In 2.75-2.77, 4 Cu 2.77
Cu  0.5000  0.0000  0.2551  4 P 2.70-2.82, 4 In 2.75-2.77, 4 Cu 2.77
Cu  0.5000  0.0000  0.7449  4 P 2.70-2.82, 4 In 2.75-2.77, 4 Cu 2.77
P  0.0000  0.0000  0.5000  8 Cu 2.70-2.82, 4 In 2.77
P  0.5000  0.5000  0.0000  8 Cu 2.70-2.82, 4 In 2.77



8.
Entry from the Alexandria database: a geometry-optimized In2CuP structure (PBEsol).

Output
- Magnetization: 0.00 μB/f.u.
- Total energy: -3.857 eV per atom
- ΔH_f (0 K): 166 meV per atom

Cell lengths 2.8107, 3.4614, 7.6439 Å; angles 90.00, 90.00, 90.00 degrees
With the nearest neighbours (Å) after each atom.
Atoms (fractional coordinates):
In  0.0000  0.0000  0.2265  2 P 2.71, 2 In 2.81, 4 Cu 2.82
In  0.0000  0.0000  0.7735  2 P 2.71, 2 In 2.81, 4 Cu 2.82
Cu  0.5000  0.5000  0.0000  2 Cu 2.81, 8 In 2.82
P  0.0000  0.5000  0.5000  4 In 2.71, 2 P 2.81



9.
Entry from the Alexandria database: a geometry-optimized InCu2P structure (PBEsol).

Output
- Magnetization: 0.00 μB/f.u.
- Total energy: -4.097 eV per atom
- ΔH_f (0 K): 264 meV per atom

Cell lengths 5.6994, 7.6268, 2.7305 Å; angles 90.00, 90.00, 90.00 degrees
With the nearest neighbours (Å) after each atom.
Atoms (fractional coordinates):
In  0.0000  0.0000  0.0000  2 In 2.73, 8 Cu 2.74, 2 P 2.85
In  0.5000  0.5000  0.0000  2 In 2.73, 8 Cu 2.74, 2 P 2.85
Cu  0.2500  0.2500  0.5000  4 Cu 2.73-2.85, 4 In 2.74, 4 P 2.74
Cu  0.2500  0.7500  0.5000  4 Cu 2.73-2.85, 4 In 2.74, 4 P 2.74
Cu  0.7500  0.2500  0.5000  4 Cu 2.73-2.85, 4 In 2.74, 4 P 2.74
Cu  0.7500  0.7500  0.5000  4 Cu 2.73-2.85, 4 In 2.74, 4 P 2.74
P  0.0000  0.5000  0.0000  2 P 2.73, 8 Cu 2.74, 2 In 2.85
P  0.5000  0.0000  0.0000  2 P 2.73, 8 Cu 2.74, 2 In 2.85



10.
Entry from the Alexandria database: a geometry-optimized In2CuP structure (PBEsol).

Output
- Magnetization: 0.00 μB/f.u.
- Total energy: -3.629 eV per atom
- ΔH_f (0 K): 394 meV per atom

Cell lengths 6.7589, 6.7589, 6.7589 Å; angles 90.00, 90.00, 90.00 degrees
With the nearest neighbours (Å) after each atom.
Atoms (fractional coordinates):
In  0.0000  0.0000  0.0000  4 In 2.93, 4 P 2.93
In  0.0000  0.5000  0.5000  4 In 2.93, 4 P 2.93
In  0.2500  0.2500  0.2500  4 In 2.93, 4 Cu 2.93
In  0.2500  0.7500  0.7500  4 In 2.93, 4 Cu 2.93
In  0.5000  0.0000  0.5000  4 In 2.93, 4 P 2.93
In  0.5000  0.5000  0.0000  4 In 2.93, 4 P 2.93
In  0.7500  0.2500  0.7500  4 In 2.93, 4 Cu 2.93
In  0.7500  0.7500  0.2500  4 In 2.93, 4 Cu 2.93
Cu  0.0000  0.0000  0.5000  4 P 2.93, 4 In 2.93
Cu  0.0000  0.5000  0.0000  4 P 2.93, 4 In 2.93
Cu  0.5000  0.0000  0.0000  4 P 2.93, 4 In 2.93
Cu  0.5000  0.5000  0.5000  4 In 2.93, 4 P 2.93
P  0.2500  0.2500  0.7500  4 In 2.93, 4 Cu 2.93
P  0.2500  0.7500  0.2500  4 In 2.93, 4 Cu 2.93
P  0.7500  0.2500  0.2500  4 In 2.93, 4 Cu 2.93
P  0.7500  0.7500  0.7500  4 In 2.93, 4 Cu 2.93



11.
Entry from the Alexandria database: a geometry-optimized In2CuPb structure (PBEsol).

Output
- Magnetization: 0.00 μB/f.u.
- Total energy: -3.458 eV per atom
- ΔH_f (0 K): 117 meV per atom

Cell lengths 3.4823, 3.4823, 26.2864 Å; angles 90.00, 90.00, 120.00 degrees
With the nearest neighbours (Å) after each atom.
Atoms (fractional coordinates):
In  0.0000  0.0000  0.2340  3 Cu 2.68
In  0.0000  0.0000  0.7660  3 Cu 2.68
In  0.3333  0.6667  0.4327  3 Cu 2.68
In  0.3333  0.6667  0.9007  3 Cu 2.68
In  0.6667  0.3333  0.0993  3 Cu 2.68
In  0.6667  0.3333  0.5673  3 Cu 2.68
Cu  0.0000  0.0000  0.5000  6 In 2.68
Cu  0.3333  0.6667  0.1667  6 In 2.68
Cu  0.6667  0.3333  0.8333  6 In 2.68
Pb  0.0000  0.0000  0.0000  6 In 3.30, 6 Pb 3.48
Pb  0.3333  0.6667  0.6667  6 In 3.30, 6 Pb 3.48
Pb  0.6667  0.3333  0.3333  6 In 3.30, 6 Pb 3.48



12.
Entry from the Alexandria database: a geometry-optimized In2CuPb structure (PBEsol).

Output
- Magnetization: 0.00 μB/f.u.
- Total energy: -3.342 eV per atom
- ΔH_f (0 K): 232 meV per atom

Cell lengths 4.3498, 4.3498, 4.7601 Å; angles 90.00, 90.00, 90.00 degrees
With the nearest neighbours (Å) after each atom.
Atoms (fractional coordinates):
In  0.0000  0.5000  0.0000  4 In 3.08, 4 Pb 3.22, 4 Cu 3.22
In  0.5000  0.0000  0.0000  4 In 3.08, 4 Pb 3.22, 4 Cu 3.22
Cu  0.0000  0.0000  0.5000  4 Pb 3.08, 8 In 3.22
Pb  0.5000  0.5000  0.5000  4 Cu 3.08, 8 In 3.22